# 1
# BaCaPd

BaCaPd after structural relaxation (PBE-GGA, Alexandria via LeMat-Bulk).

a b c (Å): 4.032 4.474 11.883
angles (deg): 90.00 90.18 90.00
Space group P2_1/m (No. 11)
Unique sites:
Ba 0.003 0.250 0.351
Ca 0.499 0.250 0.885
Pd 0.001 0.250 0.079

## Properties
* magnetic moment: 0.0000 μB per atom

---

# 2
# Ba2CaPd2

Ba2CaPd2 after structural relaxation (PBE-GGA, Alexandria via LeMat-Bulk).

a b c (Å): 5.704 5.704 11.528
angles (deg): 90.00 90.00 90.00
Space group I4/mmm (No. 139)
Unique sites:
Ba 0.000 0.000 0.160
Ca 0.000 0.000 0.500
Pd 0.000 0.500 0.250

## Properties
* magnetic moment: 0.0000 μB per atom

---

# 3
# BaCaPd

BaCaPd after structural relaxation (PBE-GGA, Alexandria via LeMat-Bulk).

a b c (Å): 7.527 7.527 7.527
angles (deg): 90.00 90.00 90.00
Space group F-43m (No. 216)
Unique sites:
Ba 0.000 0.000 0.000
Ca 0.000 0.000 0.500
Pd 0.250 0.250 0.250

## Properties
* magnetic moment: 0.0000 μB per atom

---

# 4
# Ba3CaPd8

Ba3CaPd8 after structural relaxation (PBE-GGA, Alexandria via LeMat-Bulk).

a b c (Å): 5.6823 5.6823 27.7788
angles (deg): 90.00 90.00 120.00
Space group R3m (No. 160, hexagonal axes)
Unique sites:
Ba 0.0000 0.0000 0.0000
Ba 0.0000 0.0000 0.1256
Ba 0.0000 0.0000 0.6231
Ca 0.0000 0.0000 0.4983
Pd 0.0000 0.0000 0.3119
Pd 0.0000 0.0000 0.8125
Pd 0.0026 0.5013 0.0642
Pd 0.1671 0.3342 0.8933

## Properties
* magnetic moment: 0.0000 μB per atom

---

# 5
# BaCaPd3

BaCaPd3 after structural relaxation (PBE-GGA, Alexandria via LeMat-Bulk).

a b c (Å): 5.188 5.188 5.188
angles (deg): 90.00 90.00 90.00
Space group Pm-3m (No. 221)
Unique sites:
Ba 0.000 0.000 0.000
Ca 0.500 0.500 0.500
Pd 0.000 0.500 0.500

## Properties
* magnetic moment: 0.0000 μB per atom

---

# 6
# BaCa4Pd4

BaCa4Pd4 after structural relaxation (PBE-GGA, Alexandria via LeMat-Bulk).

a b c (Å): 9.540 9.540 5.833
angles (deg): 90.00 90.00 90.00
Space group P4_2/n (No. 86, origin choice 2)
Unique sites:
Ba 0.250 0.250 0.250
Ca 0.089 0.648 0.156
Pd 0.048 0.603 0.651

## Properties
* magnetic moment: 0.0000 μB per atom

---

| no. | V (A^3/atom) | formation energy from the elements (eV per atom) | total DFT energy (no corrections) (eV per atom) |
| --- | --- | --- | --- |
| 1 | 35.73 | -0.429 | -3.468 |
| 2 | 37.50 | -0.097 | -3.343 |
| 3 | 35.53 | -0.380 | -3.419 |
| 4 | 21.58 | -0.579 | -4.688 |
| 5 | 27.93 | -0.019 | -3.919 |
| 6 | 29.49 | -0.527 | -3.939 |